Entry 1:
# Nb4FeP

A crystal of Nb4FeP relaxed with PBEsol (SCAN, Alexandria).

POSCAR file:
```
Nb4FeP
1.0
-2.2599 -3.4381 -2.9205
-2.4629 -2.5594 4.9187
-4.8331 3.6287 -0.5319
Fe Nb P
2 8 2
Direct
0.2500 0.0000 0.0000
0.7500 0.0000 0.0000
0.5000 0.6670 0.1581
0.5000 0.8419 0.6670
0.5000 0.3330 0.8419
0.0000 0.8419 0.3330
0.0000 0.3330 0.1581
0.0000 0.6670 0.8419
0.0000 0.1581 0.6670
0.5000 0.1581 0.3330
0.7500 0.5000 0.5000
0.2500 0.5000 0.5000
```

Results
calculated volume = 15.5 A^3/atom
raw total energy = -27.210 eV per atom
magnetization = 0.00 Bohr magnetons per cell
energy relative to the elements = -2.2 eV per formula unit
density of states at the Fermi level = 5.6 states/eV/f.u.

Entry 2:
# NbFeP

A crystal of NbFeP relaxed with PBEsol (SCAN, Alexandria).

POSCAR file:
```
NbFeP
1.0
3.5631 0.0000 0.0000
0.0000 6.0959 0.0000
0.0000 0.0000 6.8944
Fe P Nb
4 4 4
Direct
0.7500 0.8586 0.5620
0.7500 0.3586 0.9380
0.2500 0.6414 0.0620
0.2500 0.1414 0.4380
0.2500 0.2791 0.1181
0.7500 0.7209 0.8819
0.2500 0.7791 0.3819
0.7500 0.2209 0.6181
0.2500 0.5216 0.6766
0.7500 0.4784 0.3234
0.7500 0.9784 0.1766
0.2500 0.0216 0.8234
```

Results
calculated volume = 12.5 A^3/atom
raw total energy = -21.369 eV per atom
magnetization = 0.00 Bohr magnetons per cell
energy relative to the elements = -2.4 eV per formula unit
density of states at the Fermi level = 0.7 states/eV/f.u.

Entry 3:
# NbFePb3

A crystal of NbFePb3 relaxed with PBEsol (SCAN, Alexandria).

POSCAR file:
```
NbFePb3
1.0
-0.0731 -3.7482 -3.3542
5.0131 0.2193 -0.3543
0.4102 -3.3478 3.7321
Fe Pb Nb
1 3 1
Direct
0.0000 0.0000 0.0000
0.5000 0.0000 0.0000
0.0000 0.5000 0.0000
0.0000 0.0000 0.5000
0.5000 0.5000 0.5000
```

Results
calculated volume = 25.5 A^3/atom
raw total energy = -54.856 eV per atom
magnetization = 6.55 Bohr magnetons per cell
energy relative to the elements = 4.3 eV per formula unit
density of states at the Fermi level = 3.4 states/eV/f.u.

Entry 4:
# NbFe2Pb2

A crystal of NbFe2Pb2 relaxed with PBEsol (SCAN, Alexandria).

POSCAR file:
```
NbFe2Pb2
1.0
-0.5958 2.8568 1.4915
-1.9873 -1.5198 2.1171
7.9801 -2.0382 3.4909
Pb Fe Nb
2 2 1
Direct
0.3830 0.3830 0.7661
0.6170 0.6170 0.2339
0.2500 0.7500 0.5000
0.7500 0.2500 0.5000
0.0000 0.0000 0.0000
```

Results
calculated volume = 18.6 A^3/atom
raw total energy = -43.670 eV per atom
magnetization = 5.12 Bohr magnetons per cell
energy relative to the elements = 2.6 eV per formula unit
density of states at the Fermi level = 3.3 states/eV/f.u.

Entry 5:
# Nb3FePd

A crystal of Nb3FePd relaxed with PBEsol (SCAN, Alexandria).

POSCAR file:
```
Nb3FePd
1.0
-1.1037 -3.7393 -2.2406
3.4525 0.6614 -2.8043
2.6615 -2.4086 2.7086
Fe Nb Pd
1 3 1
Direct
0.0000 0.0000 0.0000
0.0000 0.0000 0.5000
0.5000 0.0000 0.0000
0.0000 0.5000 0.0000
0.5000 0.5000 0.5000
```

Results
calculated volume = 18.2 A^3/atom
raw total energy = -29.385 eV per atom
magnetization = 0.00 Bohr magnetons per cell
energy relative to the elements = 3.4 eV per formula unit
density of states at the Fermi level = 5.4 states/eV/f.u.

Entry 6:
# NbFePd3

A crystal of NbFePd3 relaxed with PBEsol (SCAN, Alexandria).

POSCAR file:
```
NbFePd3
1.0
-2.5995 2.8331 2.2520
-2.3895 -3.4260 1.5518
2.7182 -0.3023 3.5179
Pd Nb Fe
3 1 1
Direct
0.5000 0.0000 0.0000
0.0000 0.5000 0.0000
0.0000 0.0000 0.5000
0.5000 0.5000 0.5000
0.0000 0.0000 0.0000
```

Results
calculated volume = 17.7 A^3/atom
raw total energy = -29.073 eV per atom
magnetization = 6.63 Bohr magnetons per cell
energy relative to the elements = 4.2 eV per formula unit
density of states at the Fermi level = 7.5 states/eV/f.u.

Entry 7:
# NbFe2PdW

A crystal of NbFe2PdW relaxed with PBEsol (SCAN, Alexandria).

POSCAR file:
```
NbFe2PdW
1.0
-3.2068 -1.1978 -2.6997
2.2209 -3.6049 -1.0387
-2.1226 -2.3324 3.5562
Fe W Pd Nb
2 1 1 1
Direct
0.0000 0.5000 0.0000
0.5000 0.0000 0.0000
0.0000 0.0000 0.5000
0.5000 0.5000 0.5000
0.0000 0.0000 0.0000
```

Results
calculated volume = 18.1 A^3/atom
raw total energy = -32.428 eV per atom
magnetization = 4.45 Bohr magnetons per cell
energy relative to the elements = 9.7 eV per formula unit
density of states at the Fermi level = 5.0 states/eV/f.u.

Entry 8:
# Nb3FeRe

A crystal of Nb3FeRe relaxed with PBEsol (SCAN, Alexandria).

POSCAR file:
```
Nb3FeRe
1.0
4.7848 0.0000 0.0000
0.0000 4.7848 0.0000
0.0000 0.0000 4.7848
Fe Nb Re
1 3 1
Direct
0.5000 0.5000 0.5000
0.0000 0.5000 0.0000
0.5000 0.0000 0.0000
0.0000 0.0000 0.5000
0.0000 0.0000 0.0000
```

Results
calculated volume = 21.9 A^3/atom
raw total energy = -36.358 eV per atom
magnetization = 3.29 Bohr magnetons per cell
energy relative to the elements = 6.8 eV per formula unit
density of states at the Fermi level = 7.0 states/eV/f.u.